The following is a GGA-PBE calculation of a relaxed AcPrIr crystal, from the Alexandria database.

Cell: 7.601 4.388 13.002 Å, 90.00 101.17 90.00°
Space group C2/m (No. 12)
Symmetry-distinct sites (fractional):
Ac 0.115 0.000 0.347 x4
Pr 0.206 0.500 0.116 x4
Ir 0.091 0.500 0.774 x4

Output
**Energy of formation from the pure elements**: -543 meV/atom
**Offset from the most stable computed form**: 0.000 eV/f.u.
**E**: -6.46 eV per atom
**Fermi-level density of states**: 0.5910 states/eV/atom

The following is a GGA-PBE calculation of a relaxed AcPr2Ir9 crystal, from the Alexandria database.

Cell: 5.4465 5.4465 26.5838 Å, 90.00 90.00 120.00°
Space group R-3m (No. 166, hexagonal axes)
Symmetry-distinct sites (fractional):
Ac 0.0000 0.0000 0.0000 x3
Pr 0.0000 0.0000 0.1400 x6
Ir 0.0000 0.0000 0.3316 x6
Ir 0.0000 0.0000 0.5000 x3
Ir 0.0046 0.5023 0.0811 x18

Output
**Energy of formation from the pure elements**: -472 meV/atom
**E**: -8.26 eV per atom
**Fermi-level density of states**: 0.9881 states/eV/atom

The following is a GGA-PBE calculation of a relaxed Ac8PrIr6 crystal, from the Alexandria database.

Cell: 7.5861 7.5861 30.3123 Å, 90.00 90.00 120.00°
Space group R-3 (No. 148, hexagonal axes)
Symmetry-distinct sites (fractional):
Ac 0.0000 0.0000 0.1667 x6
Ac 0.0001 0.3344 0.3933 x18
Pr 0.0000 0.0000 0.5000 x3
Ir 0.0000 0.3292 0.5585 x18

Output
**Energy of formation from the pure elements**: -561 meV/atom
**E**: -6.62 eV per atom
**Fermi-level density of states**: 0.5975 states/eV/atom

The following is a GGA-PBE calculation of a relaxed AcPr2Ir2 crystal, from the Alexandria database.

Cell: 5.920 4.515 11.064 Å, 90.00 98.38 90.00°
Space group P2_1/m (No. 11)
Symmetry-distinct sites (fractional):
Ac 0.048 0.250 0.290 x2
Pr 0.270 0.750 0.032 x2
Pr 0.388 0.250 0.613 x2
Ir 0.163 0.750 0.472 x2
Ir 0.200 0.250 0.866 x2

Output
**Energy of formation from the pure elements**: -581 meV/atom
**Offset from the most stable computed form**: 0.000 eV/f.u.
**E**: -6.86 eV per atom
**Fermi-level density of states**: 0.4975 states/eV/atom

The following is a GGA-PBE calculation of a relaxed Ac3Pr2Ir2 crystal, from the Alexandria database.

Cell: 13.277 4.080 9.639 Å, 90.00 116.06 90.00°
Space group C2/m (No. 12)
Symmetry-distinct sites (fractional):
Ac 0.000 0.000 0.000 x2
Ac 0.116 0.000 0.426 x4
Pr 0.184 0.500 0.814 x4
Ir 0.184 0.500 0.247 x4

Output
**Energy of formation from the pure elements**: -446 meV/atom
**E**: -6.10 eV per atom
**Fermi-level density of states**: 0.9582 states/eV/atom

The following is a GGA-PBE calculation of a relaxed Ac7PrIr3 crystal, from the Alexandria database.

Cell: 8.6027 8.6027 6.8824 Å, 90.00 90.00 120.00°
Space group P3m1 (No. 156)
Symmetry-distinct sites (fractional):
Ac 0.0000 0.0000 0.0000 x1
Ac 0.1654 0.3308 0.5332 x3
Ac 0.5027 0.0054 0.0082 x3
Pr 0.6667 0.3333 0.5486 x1
Ir 0.3353 0.1677 0.7685 x3

Output
**Energy of formation from the pure elements**: -445 meV/atom
**E**: -5.91 eV per atom
**Fermi-level density of states**: 1.1256 states/eV/atom